## Tb3Tm4In (PBE-GGA)

Data for Tb3Tm4In after structural relaxation.

Cell: 11.118 6.962 6.113 Å, 90.00 90.00 90.00°
Space group Pmn2_1 (No. 31)
Unique sites:
1 Tb 0.000 0.128 0.000 (multiplicity 2)
2 Tb 0.240 0.117 0.343 (multiplicity 4)
3 Tm 0.000 0.376 0.534 (multiplicity 2)
4 Tm 0.000 0.629 0.014 (multiplicity 2)
5 Tm 0.241 0.624 0.360 (multiplicity 4)
6 In 0.000 0.868 0.521 (multiplicity 2)

Results
Energy above the lowest structure with this stoichiometry = 0 meV per atom
Calculated total energy = -4.429 eV/atom

---

## PrDy2Ag6 (PBE-GGA)

Data for PrDy2Ag6 after structural relaxation.

Cell: 8.2912 8.2912 3.4755 Å, 90.00 90.00 120.00°
Space group P6/mmm (No. 191)
Unique sites:
1 Pr 0.0000 0.0000 0.0000 (multiplicity 1)
2 Dy 0.3333 0.6667 0.0000 (multiplicity 2)
3 Ag 0.0000 0.3358 0.5000 (multiplicity 6)

Results
Calculated total energy = -3.702 eV/atom

---

## H4PdNCl3 (PBE-GGA)

Data for H4PdNCl3 after structural relaxation.

Cell: 4.945 5.014 5.014 Å, 90.00 90.01 90.00°
Space group Pm (No. 6)
Unique sites:
1 H 0.000 0.000 0.000 (multiplicity 1)
2 H 0.001 0.000 0.336 (multiplicity 1)
3 H 0.244 0.168 0.167 (multiplicity 2)
4 Pd 0.623 0.500 0.668 (multiplicity 1)
5 N 0.122 0.000 0.168 (multiplicity 1)
6 Cl 0.123 0.500 0.668 (multiplicity 1)
7 Cl 0.596 0.500 0.168 (multiplicity 1)
8 Cl 0.649 0.000 0.668 (multiplicity 1)

Results
Calculated total energy = -4.170 eV/atom

---

## ZrBeCl2 (PBE-GGA)

Data for ZrBeCl2 after structural relaxation.

Cell: 6.727 6.727 6.727 Å, 90.00 90.00 90.00°
Space group F-43m (No. 216)
Unique sites:
1 Zr 0.000 0.000 0.000 (multiplicity 4)
2 Be 0.250 0.250 0.750 (multiplicity 4)
3 Cl 0.000 0.000 0.500 (multiplicity 4)
4 Cl 0.250 0.250 0.250 (multiplicity 4)

Results
Energy above the lowest structure with this stoichiometry = 1106 meV per atom
Formation energy without anion corrections = 0.3042 eV per atom
Calculated total energy = -3.688 eV/atom

---

## Ca3TaTl (PBE-GGA)

Data for Ca3TaTl after structural relaxation.

Cell: 5.649 5.649 5.649 Å, 90.00 90.00 90.00°
Space group Pm-3m (No. 221)
Unique sites:
1 Ca 0.000 0.000 0.500 (multiplicity 3)
2 Ta 0.000 0.000 0.000 (multiplicity 1)
3 Tl 0.500 0.500 0.500 (multiplicity 1)

Results
Energy above the lowest structure with this stoichiometry = 0 meV per atom
Calculated total energy = -3.137 eV/atom

---

## Na2CO (PBE-GGA)

Data for Na2CO after structural relaxation.

Cell: 9.166 9.166 3.400 Å, 90.00 90.00 90.00°
Space group I-42d (No. 122)
Unique sites:
1 Na 0.023 0.250 0.125 (multiplicity 8)
2 C 0.000 0.000 0.500 (multiplicity 4)
3 O 0.000 0.000 0.000 (multiplicity 4)

Results
Energy above the lowest structure with this stoichiometry = 0 meV per atom
Formation energy without anion corrections = 0.5972 eV per atom
Calculated total energy = -3.608 eV/atom

---

## Y5ErCd4 (PBE-GGA)

Data for Y5ErCd4 after structural relaxation.

Cell: 3.699 3.699 20.195 Å, 90.00 90.00 90.00°
Space group P4/mmm (No. 123)
Unique sites:
1 Y 0.000 0.000 0.000 (multiplicity 1)
2 Y 0.000 0.000 0.189 (multiplicity 2)
3 Y 0.000 0.000 0.380 (multiplicity 2)
4 Er 0.500 0.500 0.500 (multiplicity 1)
5 Cd 0.500 0.500 0.095 (multiplicity 2)
6 Cd 0.500 0.500 0.285 (multiplicity 2)

Results
Calculated total energy = -4.317 eV/atom

---

## MnHPd3 (PBE-GGA)

Data for MnHPd3 after structural relaxation.

Cell: 7.8021 7.8021 3.9707 Å, 90.00 90.00 120.00°
Space group R3m (No. 160, hexagonal axes)
Unique sites:
1 Mn 0.0000 0.0000 0.0000 (multiplicity 3)
2 H 0.0000 0.0000 0.4899 (multiplicity 3)
3 Pd 0.2011 0.4023 0.1733 (multiplicity 9)

Results
Energy above the lowest structure with this stoichiometry = 287 meV per atom
Calculated total energy = -5.561 eV/atom

---

## MoBr (PBE-GGA)

Data for MoBr after structural relaxation.

Cell: 3.1457 3.1457 13.1427 Å, 90.00 90.00 120.00°
Space group R3m (No. 160, hexagonal axes)
Unique sites:
1 Mo 0.0000 0.0000 0.0000 (multiplicity 3)
2 Br 0.0000 0.0000 0.8069 (multiplicity 3)

Results
Energy above the lowest structure with this stoichiometry = 791 meV per atom
Formation energy without anion corrections = 0.7168 eV per atom
Calculated total energy = -5.535 eV/atom

---

## Nb2InCuH (PBE-GGA)

Data for Nb2InCuH after structural relaxation.

Cell: 4.015 4.015 4.487 Å, 90.00 90.00 90.00°
Space group P4/mmm (No. 123)
Unique sites:
1 Nb 0.000 0.500 0.000 (multiplicity 2)
2 In 0.000 0.000 0.500 (multiplicity 1)
3 Cu 0.500 0.500 0.500 (multiplicity 1)
4 H 0.500 0.500 0.000 (multiplicity 1)

Results
Calculated total energy = -6.118 eV/atom

---

## Rb2Hg7Bi (PBE-GGA)

Data for Rb2Hg7Bi after structural relaxation.

Cell: 11.828 11.828 11.828 Å, 90.00 90.00 90.00°
Space group Fm-3m (No. 225)
Unique sites:
1 Rb 0.250 0.250 0.250 (multiplicity 8)
2 Hg 0.000 0.000 0.000 (multiplicity 4)
3 Hg 0.000 0.000 0.243 (multiplicity 24)
4 Bi 0.000 0.000 0.500 (multiplicity 4)

Results
Energy above the lowest structure with this stoichiometry = 128 meV per atom
Calculated total energy = -0.852 eV/atom

---

## Pr5Ho2Tm3 (PBE-GGA)

Data for Pr5Ho2Tm3 after structural relaxation.

Cell: 10.724 14.912 10.056 Å, 90.00 122.21 90.00°
Space group C2/c (No. 15)
Unique sites:
1 Pr 0.000 0.021 0.250 (multiplicity 4)
2 Pr 0.000 0.231 0.250 (multiplicity 4)
3 Pr 0.000 0.271 0.750 (multiplicity 4)
4 Pr 0.245 0.381 0.243 (multiplicity 8)
5 Ho 0.155 0.380 0.558 (multiplicity 8)
6 Tm 0.000 0.477 0.750 (multiplicity 4)
7 Tm 0.154 0.124 0.059 (multiplicity 8)

Results
Calculated total energy = -4.472 eV/atom

---

Copy entry 1 word for word.
## Tb3Tm4In (PBE-GGA)

Data for Tb3Tm4In after structural relaxation.

Cell: 11.118 6.962 6.113 Å, 90.00 90.00 90.00°
Space group Pmn2_1 (No. 31)
Unique sites:
1 Tb 0.000 0.128 0.000 (multiplicity 2)
2 Tb 0.240 0.117 0.343 (multiplicity 4)
3 Tm 0.000 0.376 0.534 (multiplicity 2)
4 Tm 0.000 0.629 0.014 (multiplicity 2)
5 Tm 0.241 0.624 0.360 (multiplicity 4)
6 In 0.000 0.868 0.521 (multiplicity 2)

Results
Energy above the lowest structure with this stoichiometry = 0 meV per atom
Calculated total energy = -4.429 eV/atom